Compound: BaZnRh2
Source: Alexandria via LeMat-Bulk
Functional: PBE
Structure: relaxed

energy of formation = 0.029 eV/atom
raw total energy = -4.4454 eV per atom

Lattice parameters (Å, degrees): 3.3256 3.3256 7.0794 90.00 90.00 90.00
Atoms (fractional coordinates):
Ba: 0.5000 0.5000 0.7500
Rh: 0.0000 0.0000 0.0625
Rh: 0.0000 0.0000 0.4375
Zn: 0.5000 0.5000 0.2500

***

Compound: LaReS2Cl
Source: Alexandria via LeMat-Bulk
Functional: PBE
Structure: relaxed

formation energy without anion corrections = -0.63 eV per atom
raw total energy = -6.1276 eV per atom
distance to the lowest polymorph of the same formula = 0.0 kJ/mol of atoms

Lattice parameters (Å, degrees): 4.6764 4.6764 4.8147 90.00 90.00 90.00
Atoms (fractional coordinates):
Re: 0.0000 0.0000 0.0000
S: 0.0000 0.5000 0.0000
S: 0.5000 0.0000 0.0000
Cl: 0.0000 0.0000 0.5000
La: 0.5000 0.5000 0.5000

***

Compound: Na2P2Rh
Source: Alexandria via LeMat-Bulk
Functional: PBE
Structure: relaxed

energy of formation = -0.575 eV/atom
raw total energy = -4.7373 eV per atom

Lattice parameters (Å, degrees): 6.0263 6.0263 4.7966 90.00 90.00 90.00
Atoms (fractional coordinates):
P: 0.3693 0.8693 0.0000
P: 0.8693 0.6307 0.0000
P: 0.6307 0.1307 0.0000
P: 0.1307 0.3693 0.0000
Rh: 0.0000 0.0000 0.0000
Rh: 0.5000 0.5000 0.0000
Na: 0.1823 0.6823 0.5000
Na: 0.6823 0.8177 0.5000
Na: 0.8177 0.3177 0.5000
Na: 0.3177 0.1823 0.5000

***

Compound: La2EuSc
Source: Alexandria via LeMat-Bulk
Functional: PBE
Structure: relaxed

energy of formation = 0.125 eV/atom
raw total energy = -6.4905 eV per atom
distance to the lowest polymorph of the same formula = 6.1 kJ/mol of atoms

Lattice parameters (Å, degrees): 5.7914 5.7914 5.7914 60.00 60.00 60.00
Each line ends with the local moment (μB).
Atoms (fractional coordinates):
Eu: 0.0000 0.0000 0.0000  6.86
Sc: 0.5000 0.5000 0.5000  0.04
La: 0.2500 0.2500 0.2500  0.07
La: 0.7500 0.7500 0.7500  0.07